# K3ScRh3O8

K3ScRh3O8 after structural relaxation (PBE, Alexandria via LeMat-Bulk).

abc: 7.0931 7.0931 7.0931
angles: 52.70 52.70 52.70
Last column: nearest neighbours and their distance in Å.
Element x y z (fractional)
K  0.0000  0.5000  0.5000  6 O 2.71-2.72
K  0.5000  0.0000  0.5000  6 O 2.71-2.72
K  0.5000  0.5000  0.0000  6 O 2.71-2.72
Sc  0.5000  0.5000  0.5000  6 O 2.14
Rh  0.0000  0.0000  0.5000  6 O 2.08-2.09
Rh  0.0000  0.5000  0.0000  6 O 2.08-2.09
Rh  0.5000  0.0000  0.0000  6 O 2.08-2.09
O  0.2168  0.7280  0.7280  2 Rh 2.08, 1 Sc 2.14
O  0.2228  0.2228  0.2228  3 Rh 2.09
O  0.2720  0.2720  0.7832  2 Rh 2.08, 1 Sc 2.14
O  0.2720  0.7832  0.2720  2 Rh 2.08, 1 Sc 2.14
O  0.7280  0.2168  0.7280  2 Rh 2.08, 1 Sc 2.14
O  0.7280  0.7280  0.2168  2 Rh 2.08, 1 Sc 2.14
O  0.7772  0.7772  0.7772  3 Rh 2.09
O  0.7832  0.2720  0.2720  2 Rh 2.08, 1 Sc 2.14

Output
* Fermi-level density of states: 4.08 states/eV per cell
* final energy: -93.15 eV/f.u.
* space-group type: R-3m
* raw formation energy: -1.45 eV per atom



# K2Sc2RhO6

K2Sc2RhO6 after structural relaxation (PBE, Alexandria via LeMat-Bulk).

abc: 5.4512 5.4512 6.5192
angles: 97.79 97.79 119.58
Last column: nearest neighbours and their distance in Å.
Element x y z (fractional)
K  0.1651  0.8349  0.0000  6 O 2.72-2.80
K  0.8349  0.1651  0.0000  6 O 2.72-2.80
Sc  0.3352  0.6648  0.5000  6 O 2.13-2.15
Sc  0.6648  0.3352  0.5000  6 O 2.13-2.15
Rh  0.0000  0.0000  0.5000  6 O 2.07
O  0.0522  0.3788  0.6706  1 Rh 2.07, 2 Sc 2.13-2.15
O  0.2677  0.2677  0.3278  1 Rh 2.07, 2 Sc 2.13
O  0.3788  0.0522  0.6706  1 Rh 2.07, 2 Sc 2.13-2.15
O  0.6212  0.9478  0.3294  1 Rh 2.07, 2 Sc 2.13-2.15
O  0.7323  0.7323  0.6722  1 Rh 2.07, 2 Sc 2.13
O  0.9478  0.6212  0.3294  1 Rh 2.07, 2 Sc 2.13-2.15

Output
* Fermi-level density of states: 7.51 states/eV per cell
* final energy: -76.34 eV/f.u.
* space-group type: C2/m
* raw formation energy: -2.22 eV per atom



# K3Sc2RhO6

K3Sc2RhO6 after structural relaxation (PBE, Alexandria via LeMat-Bulk).

abc: 5.5638 5.5638 6.3882
angles: 98.33 98.33 119.96
Last column: nearest neighbours and their distance in Å.
Element x y z (fractional)
K  0.0000  0.0000  0.0000  6 O 2.69-2.70
K  0.3368  0.6632  0.0000  6 O 2.68-2.71
K  0.6632  0.3368  0.0000  6 O 2.68-2.71
Sc  0.1669  0.8331  0.5000  6 O 2.16
Sc  0.8331  0.1669  0.5000  6 O 2.16
Rh  0.5000  0.5000  0.5000  6 O 2.16
O  0.1062  0.4399  0.3195  2 Sc 2.16, 1 Rh 2.16
O  0.2260  0.2260  0.6797  2 Sc 2.16, 1 Rh 2.16
O  0.4399  0.1062  0.3195  2 Sc 2.16, 1 Rh 2.16
O  0.5601  0.8938  0.6805  2 Sc 2.16, 1 Rh 2.16
O  0.7740  0.7740  0.3203  2 Sc 2.16, 1 Rh 2.16
O  0.8938  0.5601  0.6805  2 Sc 2.16, 1 Rh 2.16

Output
* Fermi-level density of states: 0.00 states/eV per cell
* final energy: -78.99 eV/f.u.
* space-group type: C2/m
* raw formation energy: -2.16 eV per atom



# KRhSeO5

KRhSeO5 after structural relaxation (PBE, Alexandria via LeMat-Bulk).

abc: 6.2215 6.2215 7.0748
angles: 100.07 100.07 103.10
Last column: nearest neighbours and their distance in Å.
Element x y z (fractional)
K  0.1489  0.8511  0.7500  9 O 2.79-3.03
K  0.8511  0.1489  0.2500  9 O 2.79-3.03
Rh  0.5000  0.5000  0.0000  4 O 1.88-2.10
Rh  0.5000  0.5000  0.5000  4 O 1.88-2.10
Se  0.2118  0.7882  0.2500  4 O 1.66-1.73
Se  0.7882  0.2118  0.7500  4 O 1.66-1.73
O  0.0318  0.2607  0.9115  1 Se 1.66
O  0.2009  0.5705  0.3726  1 Se 1.73
O  0.2607  0.0318  0.4115  1 Se 1.66
O  0.4295  0.7991  0.1274  1 Se 1.73
O  0.4349  0.5651  0.7500  2 Rh 1.88
O  0.5651  0.4349  0.2500  2 Rh 1.88
O  0.5705  0.2009  0.8726  1 Se 1.73
O  0.7393  0.9682  0.5885  1 Se 1.66
O  0.7991  0.4295  0.6274  1 Se 1.73
O  0.9682  0.7393  0.0885  1 Se 1.66

Output
* Fermi-level density of states: 5.10 states/eV per cell
* final energy: -43.68 eV/f.u.
* space-group type: C2/c
* raw formation energy: -0.87 eV per atom



# KRhSe2O6

KRhSe2O6 after structural relaxation (PBE, Alexandria via LeMat-Bulk).

abc: 7.1921 7.1921 7.1921
angles: 43.04 43.04 43.04
Last column: nearest neighbours and their distance in Å.
Element x y z (fractional)
K  0.0000  0.0000  0.0000  6 O 2.84
Rh  0.5000  0.5000  0.5000  6 O 2.06
Se  0.2578  0.2578  0.2578  3 O 1.74
Se  0.7422  0.7422  0.7422  3 O 1.74
O  0.1036  0.4819  0.7258  1 Se 1.74
O  0.2742  0.8964  0.5181  1 Se 1.74
O  0.4819  0.7258  0.1036  1 Se 1.74
O  0.5181  0.2742  0.8964  1 Se 1.74
O  0.7258  0.1036  0.4819  1 Se 1.74
O  0.8964  0.5181  0.2742  1 Se 1.74

Output
* final energy: -53.72 eV/f.u.
* space-group type: R-3
* raw formation energy: -0.86 eV per atom



# K2SiRhO4

K2SiRhO4 after structural relaxation (PBE, Alexandria via LeMat-Bulk).

abc: 11.0555 9.7044 6.5689
angles: 83.20 60.65 36.16
Last column: nearest neighbours and their distance in Å.
Element x y z (fractional)
K  0.0544  0.0544  0.6956  2 O 2.81
K  0.3044  0.3044  0.9456  2 O 2.81
K  0.6956  0.6956  0.0544  2 O 2.81
K  0.9456  0.9456  0.3044  2 O 2.81
Si  0.3750  0.3750  0.3750  4 O 1.66
Si  0.6250  0.6250  0.6250  4 O 1.66
Rh  0.1250  0.1250  0.1250  4 O 2.07
Rh  0.8750  0.8750  0.8750  4 O 2.07
O  0.0509  0.6244  0.5243  1 Si 1.66
O  0.3004  0.5243  0.6244  1 Si 1.66
O  0.3756  0.9491  0.6996  1 Si 1.66
O  0.4757  0.6996  0.9491  1 Si 1.66
O  0.5243  0.3004  0.0509  1 Si 1.66
O  0.6244  0.0509  0.3004  1 Si 1.66
O  0.6996  0.4757  0.3756  1 Si 1.66
O  0.9491  0.3756  0.4757  1 Si 1.66

Output
* Fermi-level density of states: 0.60 states/eV per cell
* final energy: -47.34 eV/f.u.
* space-group type: Fddd
* raw formation energy: -1.57 eV per atom



# K4Sm3RhO8

K4Sm3RhO8 after structural relaxation (PBE, Alexandria via LeMat-Bulk).

abc: 7.4321 7.4321 7.4321
angles: 55.79 55.79 55.79
Last column: nearest neighbours and their distance in Å.
Element x y z (fractional)
K  0.0000  0.0000  0.0000  6 O 2.87
K  0.0000  0.5000  0.5000  6 O 2.76-2.78
K  0.5000  0.0000  0.5000  6 O 2.76-2.78
K  0.5000  0.5000  0.0000  6 O 2.76-2.78
Sm  0.0000  0.0000  0.5000  6 O 2.34-2.37
Sm  0.0000  0.5000  0.0000  6 O 2.34-2.37
Sm  0.5000  0.0000  0.0000  6 O 2.34-2.37
Rh  0.5000  0.5000  0.5000  6 O 2.25
O  0.2305  0.2305  0.2305  3 Sm 2.34
O  0.2459  0.7216  0.7216  1 Rh 2.25, 2 Sm 2.37
O  0.2784  0.2784  0.7541  1 Rh 2.25, 2 Sm 2.37
O  0.2784  0.7541  0.2784  1 Rh 2.25, 2 Sm 2.37
O  0.7216  0.2459  0.7216  1 Rh 2.25, 2 Sm 2.37
O  0.7216  0.7216  0.2459  1 Rh 2.25, 2 Sm 2.37
O  0.7541  0.2784  0.2784  1 Rh 2.25, 2 Sm 2.37
O  0.7695  0.7695  0.7695  3 Sm 2.34

Output
* final energy: -100.47 eV/f.u.
* space-group type: R-3m
* raw formation energy: -2.18 eV per atom



# KSm2RhO5

KSm2RhO5 after structural relaxation (PBE, Alexandria via LeMat-Bulk).

abc: 6.7653 6.7653 5.8446
angles: 90.00 90.00 90.00
Last column: nearest neighbours and their distance in Å.
Element x y z (fractional)
K  0.0000  0.0000  0.0000  10 O 2.92-3.03
K  0.5000  0.5000  0.0000  10 O 2.92-3.03
Sm  0.1772  0.3228  0.5000  8 O 2.31-2.57
Sm  0.3228  0.8228  0.5000  8 O 2.31-2.57
Sm  0.6772  0.1772  0.5000  8 O 2.31-2.57
Sm  0.8228  0.6772  0.5000  8 O 2.31-2.57
Rh  0.0000  0.5000  0.0000  4 O 1.96
Rh  0.5000  0.0000  0.0000  4 O 1.96
O  0.0000  0.0000  0.5000  4 Sm 2.49
O  0.1344  0.6344  0.2542  1 Rh 1.96
O  0.1344  0.6344  0.7458  1 Rh 1.96
O  0.3656  0.1344  0.2542  1 Rh 1.96
O  0.3656  0.1344  0.7458  1 Rh 1.96
O  0.5000  0.5000  0.5000  4 Sm 2.49
O  0.6344  0.8656  0.2542  1 Rh 1.96
O  0.6344  0.8656  0.7458  1 Rh 1.96
O  0.8656  0.3656  0.2542  1 Rh 1.96
O  0.8656  0.3656  0.7458  1 Rh 1.96

Output
* Fermi-level density of states: 9.00 states/eV per cell
* final energy: -63.17 eV/f.u.
* space-group type: P4/mbm
* raw formation energy: -2.28 eV per atom



- Among the records above, which one has the highest raw formation energy?
  KRhSe2O6



- Among the records above, which one has the highest final energy?
  KRhSeO5